No. 1
La2Tb3Y4 PBE-GGA relaxed; space-group type = C2/m, No. 12; excess energy over the best structure of this formula in the dataset = 0.0000 eV per atom; calculated density = 6.2 g/cm³; calculated formation energy = 3 kJ per mole of atoms; electronic total energy = -0.2015 Ha/atom
1.0
7.661 -2.555 0.000
7.661 2.555 0.000
-2.549 0.000 7.647
La Tb Y
2 3 4
direct
0.166 0.166 0.499
0.834 0.834 0.501
0.390 0.390 0.835
0.500 0.500 0.500
0.610 0.610 0.165
0.056 0.056 0.838
0.278 0.278 0.163
0.722 0.722 0.837
0.944 0.944 0.162


No. 2
TaCrPCl2 PBE-GGA relaxed; space-group type = P4/mmm, No. 123; excess energy over the best structure of this formula in the dataset = 0.4704 eV per atom; calculated density = 4.6 g/cm³; electronic total energy = -0.2026 Ha/atom
1.0
4.608 0.000 0.000
0.000 4.608 0.000
0.000 0.000 5.670
Ta Cr P Cl
1 1 1 2
direct
0.000 0.000 0.000
0.000 0.000 0.500
0.500 0.500 0.500
0.000 0.500 0.000
0.500 0.000 0.000


No. 3
Mg2SiAs2 PBE-GGA relaxed; space-group type = P4/mbm, No. 127; calculated density = 3.8 g/cm³; electronic total energy = -0.1338 Ha/atom
1.0
7.213 0.000 0.000
0.000 7.213 0.000
0.000 0.000 3.768
Mg Si As
4 2 4
direct
0.149 0.351 0.000
0.351 0.851 0.000
0.649 0.149 0.000
0.851 0.649 0.000
0.000 0.000 0.500
0.500 0.500 0.500
0.162 0.662 0.500
0.338 0.162 0.500
0.662 0.838 0.500
0.838 0.338 0.500


No. 4
HfCd2Pd PBE-GGA relaxed; space-group type = R-3m, No. 166; calculated density = 10.2 g/cm³; calculated formation energy = 13 kJ per mole of atoms; electronic total energy = -0.1512 Ha/atom
1.0
1.517 0.876 10.443
-1.517 0.876 10.443
0.000 -1.752 10.443
Hf Cd Pd
1 2 1
direct
0.000 0.000 0.000
0.095 0.095 0.095
0.905 0.905 0.905
0.500 0.500 0.500


No. 5
Sr2LaAl PBE-GGA relaxed; space-group type = I-42d, No. 122; calculated density = 3.6 g/cm³; calculated formation energy = 24 kJ per mole of atoms; electronic total energy = -0.1014 Ha/atom
1.0
-4.799 4.799 3.445
4.799 -4.799 3.445
4.799 4.799 -3.445
Sr La Al
4 2 2
direct
0.072 0.125 0.447
0.375 0.928 0.053
0.678 0.625 0.553
0.875 0.322 0.947
0.250 0.750 0.500
0.500 0.500 0.000
0.000 0.000 0.000
0.750 0.250 0.500


No. 6
CeDyPa PBE-GGA relaxed; space-group type = P-6m2, No. 187; excess energy over the best structure of this formula in the dataset = 0.0979 eV per atom; calculated density = 10.7 g/cm³; calculated formation energy = 21 kJ per mole of atoms; electronic total energy = -0.2373 Ha/atom
1.0
5.358 0.000 0.000
-2.679 4.640 0.000
0.000 0.000 3.329
Ce Dy Pa
1 1 1
direct
0.000 0.000 0.000
0.333 0.667 0.500
0.667 0.333 0.000


No. 7
Ac4La3Mg PBE-GGA relaxed; space-group type = P4/mmm, No. 123; calculated density = 7.1 g/cm³; calculated formation energy = 7 kJ per mole of atoms; electronic total energy = -0.1481 Ha/atom
1.0
4.437 0.000 0.000
0.000 4.437 0.000
0.000 0.000 16.124
Ac La Mg
4 3 1
direct
0.000 0.000 0.117
0.000 0.000 0.380
0.000 0.000 0.620
0.000 0.000 0.883
0.500 0.500 0.255
0.500 0.500 0.500
0.500 0.500 0.745
0.500 0.500 0.000


No. 8
KTaSe2Cl PBE-GGA relaxed; space-group type = P4/mmm, No. 123; calculated density = 4.9 g/cm³; electronic total energy = -0.1241 Ha/atom
1.0
5.236 0.000 0.000
0.000 5.236 0.000
0.000 0.000 5.113
K Ta Se Cl
1 1 2 1
direct
0.000 0.000 0.000
0.500 0.500 0.000
0.000 0.500 0.500
0.500 0.000 0.500
0.000 0.000 0.500


No. 9
La2Pm4Tm5 PBE-GGA relaxed; space-group type = C2/m, No. 12; excess energy over the best structure of this formula in the dataset = 0.0462 eV per atom; calculated density = 7.6 g/cm³; calculated formation energy = 12 kJ per mole of atoms; electronic total energy = -0.1666 Ha/atom
1.0
12.041 -1.764 0.000
12.041 1.764 0.000
-0.611 0.000 8.709
La Pm Tm
2 4 5
direct
0.227 0.227 0.324
0.773 0.773 0.676
0.088 0.088 0.195
0.458 0.458 0.160
0.542 0.542 0.840
0.912 0.912 0.805
0.000 0.000 0.500
0.314 0.314 0.028
0.371 0.371 0.456
0.629 0.629 0.544
0.686 0.686 0.972


No. 10
CeNdMg4 PBE-GGA relaxed; space-group type = Cmcm, No. 63; excess energy over the best structure of this formula in the dataset = 0.0000 eV per atom; calculated density = 4.0 g/cm³; calculated formation energy = -5 kJ per mole of atoms; electronic total energy = -0.1064 Ha/atom
1.0
3.275 -9.177 0.000
3.275 9.177 0.000
0.000 0.000 5.304
Ce Nd Mg
2 2 8
direct
0.125 0.875 0.750
0.875 0.125 0.250
0.375 0.625 0.250
0.625 0.375 0.750
0.040 0.457 0.750
0.204 0.287 0.750
0.287 0.204 0.250
0.457 0.040 0.250
0.543 0.960 0.750
0.713 0.796 0.750
0.796 0.713 0.250
0.960 0.543 0.250


No. 11
HoEr6Tl2 PBE-GGA relaxed; space-group type = C2/m, No. 12; calculated density = 9.9 g/cm³; calculated formation energy = -14 kJ per mole of atoms; electronic total energy = -0.1552 Ha/atom
1.0
6.310 -1.859 0.000
6.310 1.859 0.000
-3.691 0.000 11.262
Ho Er Tl
1 6 2
direct
0.000 0.000 0.000
0.014 0.014 0.345
0.311 0.311 0.416
0.316 0.316 0.124
0.684 0.684 0.876
0.689 0.689 0.584
0.986 0.986 0.655
0.358 0.358 0.793
0.642 0.642 0.207


No. 12
Tb6InOs2 PBE-GGA relaxed; space-group type = Immm, No. 71; calculated density = 10.1 g/cm³; calculated formation energy = -29 kJ per mole of atoms; electronic total energy = -0.2272 Ha/atom
1.0
-4.743 4.789 5.249
4.743 -4.789 5.249
4.743 4.789 -5.249
Tb In Os
12 2 4
direct
0.034 0.242 0.793
0.185 0.282 0.467
0.185 0.718 0.903
0.331 0.018 0.687
0.331 0.643 0.313
0.449 0.242 0.207
0.551 0.758 0.793
0.669 0.357 0.687
0.669 0.982 0.313
0.815 0.282 0.097
0.815 0.718 0.533
0.966 0.758 0.207
0.000 0.000 0.000
0.500 0.500 0.000
0.120 0.620 0.500
0.329 0.000 0.329
0.671 0.000 0.671
0.880 0.380 0.500